1.
TlReTc | PBE | optimized geometry

Formation energy from the elements   0.9595 eV/atom
Fermi-level density of states   10.35 states/eV/cell

Lattice parameters (Å, degrees): 6.1872 6.1872 6.1872 90.00 90.00 90.00
Closest atoms and distances in Å follow each position.
Atoms (fractional coordinates):
Tl: 0.0000 0.0000 0.0000  4 Tc 2.68
Tl: 0.0000 0.5000 0.5000  4 Tc 2.68
Tl: 0.5000 0.0000 0.5000  4 Tc 2.68
Tl: 0.5000 0.5000 0.0000  4 Tc 2.68
Re: 0.0000 0.0000 0.5000  4 Tc 2.68
Re: 0.0000 0.5000 0.0000  4 Tc 2.68
Re: 0.5000 0.0000 0.0000  4 Tc 2.68
Re: 0.5000 0.5000 0.5000  4 Tc 2.68
Tc: 0.2500 0.2500 0.7500  4 Re 2.68, 4 Tl 2.68
Tc: 0.2500 0.7500 0.2500  4 Tl 2.68, 4 Re 2.68
Tc: 0.7500 0.2500 0.2500  4 Tl 2.68, 4 Re 2.68
Tc: 0.7500 0.7500 0.7500  4 Re 2.68, 4 Tl 2.68

=====

2.
CaTm3Mg8 | PBE | optimized geometry

Formation energy from the elements   -0.0604 eV/atom
Fermi-level density of states   9.90 states/eV/cell

Lattice parameters (Å, degrees): 6.0797 6.0797 9.7421 90.00 90.00 120.00
Closest atoms and distances in Å follow each position.
Atoms (fractional coordinates):
Ca: 0.0000 0.0000 0.0000  12 Mg 3.54-3.57, 4 Tm 3.72-3.76
Tm: 0.0000 0.0000 0.3816  12 Mg 3.40-3.58, 3 Tm 3.68, 1 Ca 3.72
Tm: 0.6667 0.3333 0.4943  12 Mg 3.44-3.56, 4 Tm 3.58-3.68
Tm: 0.6667 0.3333 0.8622  12 Mg 3.51-3.60, 1 Tm 3.58, 3 Ca 3.76
Mg: 0.1637 0.3274 0.6825  6 Mg 2.99-3.09
Mg: 0.1637 0.8363 0.6825  6 Mg 2.99-3.09
Mg: 0.3333 0.6667 0.4330  6 Mg 3.00-3.02
Mg: 0.3333 0.6667 0.9341  6 Mg 3.03-3.06
Mg: 0.5047 0.0094 0.1874  6 Mg 2.95-3.13
Mg: 0.5047 0.4953 0.1874  6 Mg 2.95-3.13
Mg: 0.6726 0.8363 0.6825  6 Mg 2.99-3.09
Mg: 0.9906 0.4953 0.1874  6 Mg 2.95-3.13

=====

3.
NaTlGe | PBE | optimized geometry

Formation energy from the elements   0.0780 eV/atom
Fermi-level density of states   2.82 states/eV/cell

Lattice parameters (Å, degrees): 5.7619 3.2564 7.8610 90.00 90.00 90.00
Closest atoms and distances in Å follow each position.
Atoms (fractional coordinates):
Na: 0.2500 0.0000 0.2139  4 Ge 3.13, 2 Na 3.26, 6 Tl 3.34
Na: 0.7500 0.0000 0.7861  4 Ge 3.13, 2 Na 3.26, 6 Tl 3.34
Tl: 0.2500 0.5000 0.8427  2 Ge 3.06, 2 Tl 3.26, 6 Na 3.34
Tl: 0.7500 0.5000 0.1573  2 Ge 3.06, 2 Tl 3.26, 6 Na 3.34
Ge: 0.0000 0.5000 0.5000  2 Ge 2.88, 2 Tl 3.06, 4 Na 3.13
Ge: 0.5000 0.5000 0.5000  2 Ge 2.88, 2 Tl 3.06, 4 Na 3.13

=====

4.
MgMnB4 | PBE | optimized geometry

Formation energy from the elements   -0.2729 eV/atom
Fermi-level density of states   6.54 states/eV/cell

Lattice parameters (Å, degrees): 5.7981 11.1403 3.2193 90.00 90.00 90.00
Closest atoms and distances in Å follow each position.
Atoms (fractional coordinates):
Mg: 0.1234 0.1519 0.0000  14 B 2.48-2.67
Mg: 0.3766 0.6519 0.0000  14 B 2.48-2.67
Mg: 0.6234 0.3481 0.0000  14 B 2.48-2.67
Mg: 0.8766 0.8481 0.0000  14 B 2.48-2.67
Mn: 0.1264 0.4189 0.0000  10 B 2.16-2.22, 1 Mn 2.33
Mn: 0.3736 0.9189 0.0000  10 B 2.16-2.22, 1 Mn 2.33
Mn: 0.6264 0.0811 0.0000  10 B 2.16-2.22, 1 Mn 2.33
Mn: 0.8736 0.5811 0.0000  10 B 2.16-2.22, 1 Mn 2.33
B: 0.0177 0.6954 0.5000  3 B 1.72-1.79
B: 0.1152 0.5497 0.5000  3 B 1.71-1.73
B: 0.1337 0.9688 0.5000  3 B 1.70-1.76
B: 0.2103 0.8154 0.5000  3 B 1.74-1.79
B: 0.2897 0.3154 0.5000  3 B 1.74-1.79
B: 0.3663 0.4688 0.5000  3 B 1.70-1.76
B: 0.3848 0.0497 0.5000  3 B 1.71-1.73
B: 0.4823 0.1954 0.5000  3 B 1.72-1.79
B: 0.5177 0.8046 0.5000  3 B 1.72-1.79
B: 0.6152 0.9503 0.5000  3 B 1.71-1.73
B: 0.6337 0.5312 0.5000  3 B 1.70-1.76
B: 0.7103 0.6846 0.5000  3 B 1.74-1.79
B: 0.7897 0.1846 0.5000  3 B 1.74-1.79
B: 0.8663 0.0312 0.5000  3 B 1.70-1.76
B: 0.8848 0.4503 0.5000  3 B 1.71-1.73
B: 0.9823 0.3046 0.5000  3 B 1.72-1.79

=====

| no. | mass density (g/cm3) | calculated total energy (eV/cell) |
| --- | --- | --- |
| 1 | 13.7 | -89.2 |
| 2 | 3.9 | -28.9 |
| 3 | 6.8 | -16.1 |
| 4 | 3.9 | -156.4 |